i.
meta-GGA SCAN LiHgPt, single point on PBEsol structure; space group = P3m1 (156); magnetic moment = 0.00 μB/f.u.
1.0
4.377 0.000 0.000
-2.189 3.791 0.000
0.000 0.000 2.852
Li Hg Pt
1 1 1
direct
0.000 0.000 0.000 Li
0.667 0.333 0.313 Hg
0.333 0.667 0.770 Pt

---

ii.
meta-GGA SCAN LiHgPt, single point on PBEsol structure; space group = Imm2 (44); magnetic moment = 0.00 μB/f.u.
1.0
-1.438 1.969 4.237
1.438 -1.969 4.237
1.438 1.969 -4.237
Li Hg Pt
1 1 1
direct
0.000 0.000 0.000 Li
0.675 0.675 0.000 Hg
0.348 0.348 0.000 Pt

---

In order of decreasing stability: ii, i.